DFT (PBE) results for crystalline LiNdPd at its relaxed geometry.

Structure (POSCAR):
```
LiNdPd
1.0
-2.5023 -2.4917 -1.0348
2.3380 -0.7069 -3.9517
4.5329 -6.1223 3.7769
Li Nd Pd
2 2 2
Direct
0.8122 0.7161 0.4858 Li
0.8116 0.2161 0.3075 Li
0.3114 0.7162 0.0807 Nd
0.3116 0.2162 0.7119 Nd
0.8114 0.2162 0.0002 Pd
0.8116 0.7162 0.7925 Pd
```

Summary:
E_form = -0.455 eV/atom
Space-group type = Pmma
Final energy = -4.41 eV/atom
ΔE to the lowest computed polymorph = 27 kJ/mol of formula units
Total magnetization = 0.000 μB per formula unit
Mass density = 5.89 g/cm3



DFT (PBE) results for crystalline PrPu3Ge4 at its relaxed geometry.

Structure (POSCAR):
```
PrPu3Ge4
1.0
-0.7814 2.5693 2.1772
-4.0858 -4.1658 3.4496
8.9344 -1.4491 2.1718
Ge Pu Pr
4 3 1
Direct
0.3688 0.1754 0.7376 Ge
0.3688 0.5623 0.7376 Ge
0.6312 0.8246 0.2624 Ge
0.6312 0.4377 0.2624 Ge
0.0000 0.5000 0.0000 Pu
0.2077 0.2078 0.4154 Pu
0.7923 0.7922 0.5846 Pu
0.5000 0.0000 0.0000 Pr
```

Summary:
E_form = -0.317 eV/atom
Space-group type = Immm
Final energy = -8.60 eV/atom
Total magnetization = 16.409 μB per formula unit
Mass density = 9.70 g/cm3



DFT (PBE) results for crystalline TbNdDy2 at its relaxed geometry.

Structure (POSCAR):
```
TbNdDy2
1.0
-2.7521 2.1111 4.5299
-2.0372 -3.5241 3.9976
2.4363 -0.1779 5.1559
Tb Dy Nd
1 2 1
Direct
0.5000 0.5000 0.5000 Tb
0.7500 0.7500 0.7500 Dy
0.2500 0.2500 0.2500 Dy
0.0000 0.0000 0.0000 Nd
```

Summary:
E_form = 0.135 eV/atom
Space-group type = Fm-3m
Final energy = -4.52 eV/atom
ΔE to the lowest computed polymorph = 53 kJ/mol of formula units
Total magnetization = 0.002 μB per formula unit
Mass density = 7.94 g/cm3



DFT (PBE) results for crystalline SrCaTe2N at its relaxed geometry.

Structure (POSCAR):
```
SrCaTe2N
1.0
5.9813 0.0000 0.0000
0.0000 5.9813 0.0000
0.0000 0.0000 4.6129
Ca Te N Sr
1 2 1 1
Direct
0.0000 0.0000 0.0000 Ca
0.5000 0.0000 0.0000 Te
0.0000 0.5000 0.0000 Te
0.0000 0.0000 0.5000 N
0.5000 0.5000 0.5000 Sr
```

Summary:
Space-group type = P4/mmm
Final energy = -3.92 eV/atom
ΔE to the lowest computed polymorph = 0 kJ/mol of formula units
Total magnetization = 2.481 μB per formula unit
Mass density = 3.99 g/cm3
Uncorrected formation energy = -125.2 kJ/mol of formula units



DFT (PBE) results for crystalline AcNiSn2Pd at its relaxed geometry.

Structure (POSCAR):
```
AcNiSn2Pd
1.0
4.6836 0.0000 0.0000
0.0000 4.6836 0.0000
-2.3418 -2.3418 5.3468
Sn Pd Ni Ac
2 1 1 1
Direct
0.3629 0.3629 0.7257 Sn
0.6371 0.6371 0.2743 Sn
0.7500 0.2500 0.5000 Pd
0.2500 0.7500 0.5000 Ni
0.0000 0.0000 0.0000 Ac
```

Summary:
E_form = -0.620 eV/atom
Space-group type = I-4m2
Final energy = -5.24 eV/atom
Total magnetization = 0.000 μB per formula unit
Mass density = 8.91 g/cm3



DFT (PBE) results for crystalline La2YNpN4 at its relaxed geometry.

Structure (POSCAR):
```
La2YNpN4
1.0
-2.7206 -1.7466 1.5109
-1.5292 -2.3172 -5.4324
4.0526 -3.9152 2.7714
N Np La Y
4 1 2 1
Direct
0.0000 0.2385 0.7878 N
0.5000 0.7717 0.7861 N
0.0000 0.7615 0.2122 N
0.5000 0.2283 0.2139 N
0.0000 0.0000 0.0000 Np
0.5000 0.0000 0.5000 La
0.0000 0.5000 0.5000 La
0.5000 0.5000 0.0000 Y
```

Summary:
Space-group type = P2/m
Final energy = -9.19 eV/atom
Total magnetization = 2.567 μB per formula unit
Mass density = 8.45 g/cm3
Uncorrected formation energy = -1057.9 kJ/mol of formula units



DFT (PBE) results for crystalline Te2AsRu at its relaxed geometry.

Structure (POSCAR):
```
Te2AsRu
1.0
3.8291 0.0097 -0.0191
1.9220 3.3118 -0.0192
1.8778 1.0845 7.1057
Te As Ru
2 1 1
Direct
0.9874 0.9874 0.0316 Te
0.5126 0.5126 0.4684 Te
0.7500 0.7500 0.7500 As
0.2500 0.2500 0.2500 Ru
```

Summary:
Space-group type = C2/m
Final energy = -4.83 eV/atom
Total magnetization = 0.000 μB per formula unit
Mass density = 7.94 g/cm3
Uncorrected formation energy = 86.6 kJ/mol of formula units



DFT (PBE) results for crystalline BiPtAu3 at its relaxed geometry.

Structure (POSCAR):
```
BiPtAu3
1.0
-3.9192 -1.8575 -2.6182
1.8676 -4.6800 0.5245
-2.6110 -0.5594 4.3053
Pt Au Bi
1 3 1
Direct
0.0000 0.0000 0.0000 Pt
0.0000 0.0000 0.5000 Au
0.0000 0.5000 0.0000 Au
0.5000 0.0000 0.0000 Au
0.5000 0.5000 0.5000 Bi
```

Summary:
E_form = 0.591 eV/atom
Space-group type = Pm-3m
Final energy = -3.36 eV/atom
ΔE to the lowest computed polymorph = 0 kJ/mol of formula units
Total magnetization = 0.000 μB per formula unit
Mass density = 12.71 g/cm3



DFT (PBE) results for crystalline Zr2NbAsH at its relaxed geometry.

Structure (POSCAR):
```
Zr2NbAsH
1.0
5.1353 0.0000 0.0000
0.0000 4.8770 0.0000
0.0000 0.0000 5.1353
Nb Zr H As
1 2 1 1
Direct
0.0000 0.0000 0.0000 Nb
0.0000 0.0000 0.5000 Zr
0.5000 0.0000 0.0000 Zr
0.5000 0.5000 0.5000 H
0.0000 0.5000 0.0000 As
```

Summary:
Space-group type = P4/mmm
Final energy = -5.99 eV/atom
Total magnetization = 0.000 μB per formula unit
Mass density = 4.54 g/cm3



DFT (PBE) results for crystalline PmHo6Th2 at its relaxed geometry.

Structure (POSCAR):
```
PmHo6Th2
1.0
3.5619 0.0000 0.0000
-1.7810 3.0847 0.0000
0.0000 0.0000 26.3066
Ho Th Pm
6 2 1
Direct
0.3333 0.6667 0.5630 Ho
0.3333 0.6667 0.4370 Ho
0.6667 0.3333 0.1115 Ho
0.3333 0.6667 0.7818 Ho
0.3333 0.6667 0.2182 Ho
0.6667 0.3333 0.8885 Ho
0.6667 0.3333 0.3300 Th
0.6667 0.3333 0.6700 Th
0.3333 0.6667 0.0000 Pm
```

Summary:
E_form = 0.076 eV/atom
Space-group type = P-6m2
Final energy = -5.15 eV/atom
ΔE to the lowest computed polymorph = 0 kJ/mol of formula units
Total magnetization = 0.000 μB per formula unit
Mass density = 9.18 g/cm3



DFT (PBE) results for crystalline Th2BeGa2Au4 at its relaxed geometry.

Structure (POSCAR):
```
Th2BeGa2Au4
1.0
6.4023 -0.0705 -0.1017
-3.1351 5.5827 0.1017
-3.1351 -1.8662 5.2625
Au Be Ga Th
4 1 2 2
Direct
0.5184 0.2592 0.2592 Au
0.4816 0.7408 0.7408 Au
0.0000 0.7408 0.2592 Au
0.0000 0.2592 0.7408 Au
0.0000 0.0000 0.0000 Be
0.0000 0.3021 0.3021 Ga
0.0000 0.6979 0.6979 Ga
0.5000 0.2500 0.7500 Th
0.5000 0.7500 0.2500 Th
```

Summary:
E_form = -0.440 eV/atom
Space-group type = I4/mmm
Final energy = -4.63 eV/atom
Total magnetization = 0.000 μB per formula unit
Mass density = 12.52 g/cm3



DFT (PBE) results for crystalline HoTm6Pt2 at its relaxed geometry.

Structure (POSCAR):
```
HoTm6Pt2
1.0
3.5349 0.0000 0.9993
1.5006 7.8375 1.4434
-0.5017 0.0468 8.5265
Pt Ho Tm
2 1 6
Direct
0.5964 0.5766 0.2307 Pt
0.4036 0.4234 0.7693 Pt
0.0000 0.5000 0.5000 Ho
0.0275 0.1358 0.8092 Tm
0.2788 0.3289 0.1135 Tm
0.7212 0.6711 0.8865 Tm
0.3060 0.8338 0.5541 Tm
0.6940 0.1662 0.4459 Tm
0.9725 0.8642 0.1908 Tm
```

Summary:
E_form = -0.592 eV/atom
Space-group type = C2/m
Final energy = -5.42 eV/atom
Total magnetization = 0.000 μB per formula unit
Mass density = 10.85 g/cm3



DFT (PBE) results for crystalline LiSb2Br at its relaxed geometry.

Structure (POSCAR):
```
LiSb2Br
1.0
-0.2306 0.8409 3.9998
3.8868 -1.1995 0.4763
2.6661 8.0299 -1.5345
Li Sb Br
1 2 1
Direct
0.0000 0.5000 0.5000 Li
0.5000 0.5000 0.0000 Sb
0.0000 0.0000 0.0000 Sb
0.5000 0.0000 0.5000 Br
```

Summary:
Space-group type = P4/mmm
Final energy = -3.33 eV/atom
ΔE to the lowest computed polymorph = 122 kJ/mol of formula units
Total magnetization = 0.000 μB per formula unit
Mass density = 3.81 g/cm3
Uncorrected formation energy = -143.4 kJ/mol of formula units



DFT (PBE) results for crystalline Na2CoRh2 at its relaxed geometry.

Structure (POSCAR):
```
Na2CoRh2
1.0
6.1443 0.0000 0.0000
0.0000 6.1443 0.0000
0.0000 0.0000 4.9413
Na Rh Co
4 4 2
Direct
0.8248 0.3248 0.5000 Na
0.6752 0.8248 0.5000 Na
0.1752 0.6752 0.5000 Na
0.3248 0.1752 0.5000 Na
0.8584 0.6416 0.0000 Rh
0.1416 0.3584 0.0000 Rh
0.6416 0.1416 0.0000 Rh
0.3584 0.8584 0.0000 Rh
0.0000 0.0000 0.0000 Co
0.5000 0.5000 0.0000 Co
```

Summary:
E_form = 0.388 eV/atom
Space-group type = P4/mbm
Final energy = -4.50 eV/atom
ΔE to the lowest computed polymorph = 0 kJ/mol of formula units
Total magnetization = 2.880 μB per formula unit
Mass density = 5.53 g/cm3



DFT (PBE) results for crystalline Li2YSb at its relaxed geometry.

Structure (POSCAR):
```
Li2YSb
1.0
4.3295 0.0000 0.0000
0.0000 4.3295 0.0000
2.1647 2.1647 10.7692
Li Sb Y
4 2 2
Direct
0.3750 0.3273 0.7500 Li
0.6727 0.1250 0.2500 Li
0.0773 0.6250 0.2500 Li
0.8750 0.9227 0.7500 Li
0.0000 0.0000 0.0000 Sb
0.7500 0.2500 0.5000 Sb
0.2500 0.7500 0.5000 Y
0.5000 0.5000 0.0000 Y
```

Summary:
Space-group type = I-42d
Final energy = -3.97 eV/atom
Total magnetization = 0.000 μB per formula unit
Mass density = 3.69 g/cm3
Uncorrected formation energy = -140.7 kJ/mol of formula units



DFT (PBE) results for crystalline AcPm2Tm at its relaxed geometry.

Structure (POSCAR):
```
AcPm2Tm
1.0
-3.4839 4.6786 0.7906
-3.6707 0.1928 4.5978
1.0360 3.7245 4.4392
Ac Pm Tm
1 2 1
Direct
0.5000 0.5000 0.5000 Ac
0.2500 0.2500 0.2500 Pm
0.7500 0.7500 0.7500 Pm
0.0000 0.0000 0.0000 Tm
```

Summary:
E_form = 0.172 eV/atom
Space-group type = Fm-3m
Final energy = -4.35 eV/atom
ΔE to the lowest computed polymorph = 51 kJ/mol of formula units
Total magnetization = 0.279 μB per formula unit
Mass density = 7.90 g/cm3



DFT (PBE) results for crystalline KAs3S at its relaxed geometry.

Structure (POSCAR):
```
KAs3S
1.0
-4.3742 -3.0790 1.6341
-0.5347 -1.9984 -5.1966
3.4446 -4.2202 1.2685
S As K
1 3 1
Direct
0.5000 0.5000 0.5000 S
0.0000 0.0000 0.5000 As
0.0000 0.5000 0.0000 As
0.5000 0.0000 0.0000 As
0.0000 0.0000 0.0000 K
```

Summary:
Space-group type = Pm-3m
Final energy = -1.91 eV/atom
ΔE to the lowest computed polymorph = 739 kJ/mol of formula units
Total magnetization = 3.930 μB per formula unit
Mass density = 2.81 g/cm3
Uncorrected formation energy = 930.0 kJ/mol of formula units



DFT (PBE) results for crystalline PuGa at its relaxed geometry.

Structure (POSCAR):
```
PuGa
1.0
3.0892 0.0000 0.0000
0.0000 3.0837 -0.2009
0.0000 0.2926 4.4886
Ga Pu
1 1
Direct
0.0000 0.0000 0.0000 Ga
0.5000 0.5000 0.5000 Pu
```

Summary:
E_form = -0.311 eV/atom
Space-group type = P4/mmm
Final energy = -8.99 eV/atom
Total magnetization = 5.475 μB per formula unit
Mass density = 12.13 g/cm3



DFT (PBE) results for crystalline Sc3BiTe2 at its relaxed geometry.

Structure (POSCAR):
```
Sc3BiTe2
1.0
5.9316 0.0000 0.0000
0.0000 9.1827 -1.9239
0.0000 -6.1760 7.0627
Sc Bi Te
6 2 4
Direct
0.9930 0.9168 0.5806 Sc
0.4930 0.0832 0.4194 Sc
0.4930 0.7493 0.7493 Sc
0.9930 0.5806 0.9168 Sc
0.9930 0.2507 0.2507 Sc
0.4930 0.4194 0.0832 Sc
0.4930 0.2495 0.2495 Bi
0.9930 0.7505 0.7505 Bi
0.9930 0.0826 0.4155 Te
0.9930 0.4155 0.0826 Te
0.4930 0.9174 0.5845 Te
0.4930 0.5845 0.9174 Te
```

Summary:
Space-group type = Cmcm
Final energy = -5.82 eV/atom
ΔE to the lowest computed polymorph = 5 kJ/mol of formula units
Total magnetization = 0.000 μB per formula unit
Mass density = 6.33 g/cm3
Uncorrected formation energy = -555.0 kJ/mol of formula units



DFT (PBE) results for crystalline KCd2GeS4 at its relaxed geometry.

Structure (POSCAR):
```
KCd2GeS4
1.0
6.5681 0.2573 0.0000
-0.2884 6.5668 0.0000
-3.1399 -3.4121 5.1226
S K Ge Cd
4 1 1 2
Direct
0.8397 0.4329 0.2725 S
0.5670 0.5670 0.7254 S
0.1585 0.1585 0.7254 S
0.4329 0.8397 0.2725 S
0.0024 0.0024 0.0048 K
0.4995 0.4995 0.9990 Ge
0.2502 0.7502 0.5004 Cd
0.7502 0.2502 0.5004 Cd
```

Summary:
Space-group type = Fmm2
Final energy = -3.56 eV/atom
Total magnetization = 0.000 μB per formula unit
Mass density = 3.49 g/cm3
Uncorrected formation energy = -426.9 kJ/mol of formula units